(1)
# ZnAu2

A relaxed ZnAu2 crystal (PBE, Alexandria).

Calculated values
**Formation enthalpy at 0 K**: -0.136 eV/atom
**Space-group type**: C2/m (12)

Unit cell a=5.4357 b=5.4357 c=6.9416 alpha=109.65 beta=109.65 gamma=32.45
With the nearest neighbours (Å) after each atom.
Atoms (fractional coordinates):
Zn (0.1782, 0.1782, 0.1551)  8 Au 2.68-2.86
Zn (0.8218, 0.8218, 0.8449)  8 Au 2.68-2.86
Au (0.1446, 0.1446, 0.5412)  3 Zn 2.73-2.82, 9 Au 2.87-3.05
Au (0.4511, 0.4511, 0.1742)  5 Zn 2.68-2.86, 3 Au 2.93-2.94
Au (0.5489, 0.5489, 0.8258)  5 Zn 2.68-2.86, 3 Au 2.93-2.94
Au (0.8554, 0.8554, 0.4588)  3 Zn 2.73-2.82, 9 Au 2.87-3.05

---

(2)
# ZnAu

A relaxed ZnAu crystal (PBE, Alexandria).

Calculated values
**Formation enthalpy at 0 K**: -0.008 eV/atom
**Space-group type**: P6_3/mmc (194)

Unit cell a=4.6622 b=4.6622 c=7.7543 alpha=90.00 beta=90.00 gamma=120.00
With the nearest neighbours (Å) after each atom.
Atoms (fractional coordinates):
Zn (0.3333, 0.6667, 0.0858)  1 Zn 2.55, 1 Au 2.60
Zn (0.3333, 0.6667, 0.4142)  1 Zn 2.55, 1 Au 2.60
Zn (0.6667, 0.3333, 0.5858)  1 Zn 2.55, 1 Au 2.60
Zn (0.6667, 0.3333, 0.9142)  1 Zn 2.55, 1 Au 2.60
Au (0.0000, 0.0000, 0.2500)  3 Au 2.69, 6 Zn 2.98
Au (0.0000, 0.0000, 0.7500)  3 Au 2.69, 6 Zn 2.98
Au (0.3333, 0.6667, 0.7500)  2 Zn 2.60, 3 Au 2.69
Au (0.6667, 0.3333, 0.2500)  2 Zn 2.60, 3 Au 2.69

---

(3)
# ZnAu2

A relaxed ZnAu2 crystal (PBE, Alexandria).

Calculated values
**Formation enthalpy at 0 K**: -0.133 eV/atom
**Space-group type**: Cm (8)

Unit cell a=5.4878 b=5.4878 c=6.6169 alpha=103.38 beta=103.38 gamma=32.03
With the nearest neighbours (Å) after each atom.
Atoms (fractional coordinates):
Zn (0.0000, 0.0000, 0.0000)  8 Au 2.66-2.95
Zn (0.6870, 0.6870, 0.3660)  7 Au 2.70-2.83
Au (0.2828, 0.2828, 0.0994)  5 Zn 2.70-2.95, 5 Au 2.90-3.01
Au (0.3453, 0.3453, 0.6793)  4 Zn 2.78-2.79, 8 Au 2.85-3.03
Au (0.6236, 0.6236, 0.7583)  3 Zn 2.75-2.83, 9 Au 2.85-3.03
Au (0.9788, 0.9788, 0.3920)  3 Zn 2.66-2.71, 4 Au 2.90-2.95

---

(4)
# Zn7Au2

A relaxed Zn7Au2 crystal (PBE, Alexandria).

Calculated values
**Formation enthalpy at 0 K**: -0.059 eV/atom
**Space-group type**: P-3m1 (164)

Unit cell a=4.4733 b=4.4733 c=8.0433 alpha=90.00 beta=90.00 gamma=120.00
With the nearest neighbours (Å) after each atom.
Atoms (fractional coordinates):
Zn (0.0000, 0.0000, 0.0000)  8 Zn 2.71-2.73
Zn (0.0000, 0.0000, 0.3370)  5 Zn 2.62-2.72, 3 Au 2.74
Zn (0.0000, 0.0000, 0.6630)  5 Zn 2.62-2.72, 3 Au 2.74
Zn (0.3333, 0.6667, 0.1115)  4 Zn 2.66-2.73, 4 Au 2.70-2.74
Zn (0.3333, 0.6667, 0.4423)  7 Zn 2.66-2.74, 1 Au 2.68
Zn (0.6667, 0.3333, 0.5577)  7 Zn 2.66-2.74, 1 Au 2.68
Zn (0.6667, 0.3333, 0.8885)  4 Zn 2.66-2.73, 4 Au 2.70-2.74
Au (0.3333, 0.6667, 0.7758)  8 Zn 2.68-2.74
Au (0.6667, 0.3333, 0.2242)  8 Zn 2.68-2.74

---

(5)
# ZnAu

A relaxed ZnAu crystal (PBE, Alexandria).

Calculated values
**Formation enthalpy at 0 K**: -0.077 eV/atom
**Space-group type**: R-3m (166)

Unit cell a=9.1012 b=9.1012 c=9.1012 alpha=18.57 beta=18.57 gamma=18.57
With the nearest neighbours (Å) after each atom.
Atoms (fractional coordinates):
Zn (0.1273, 0.1273, 0.1273)  9 Zn 2.71-2.94, 3 Au 2.75
Zn (0.8727, 0.8727, 0.8727)  9 Zn 2.71-2.94, 3 Au 2.75
Au (0.3801, 0.3801, 0.3801)  3 Zn 2.75, 9 Au 2.94-3.03
Au (0.6199, 0.6199, 0.6199)  3 Zn 2.75, 9 Au 2.94-3.03

---

(6)
# ZnAu5

A relaxed ZnAu5 crystal (PBE, Alexandria).

Calculated values
**Formation enthalpy at 0 K**: 0.112 eV/atom
**Space-group type**: P6/mmm (191)

Unit cell a=5.4930 b=5.4930 c=4.7255 alpha=90.00 beta=90.00 gamma=120.00
With the nearest neighbours (Å) after each atom.
Atoms (fractional coordinates):
Zn (0.0000, 0.0000, 0.0000)  6 Au 3.17
Au (0.0000, 0.5000, 0.5000)  8 Au 2.75-2.85
Au (0.3333, 0.6667, 0.0000)  9 Au 2.85-3.17, 3 Zn 3.17
Au (0.5000, 0.0000, 0.5000)  8 Au 2.75-2.85
Au (0.5000, 0.5000, 0.5000)  8 Au 2.75-2.85
Au (0.6667, 0.3333, 0.0000)  9 Au 2.85-3.17, 3 Zn 3.17

---

(7)
# ZnAu

A relaxed ZnAu crystal (PBE, Alexandria).

Calculated values
**Formation enthalpy at 0 K**: -0.119 eV/atom
**Space-group type**: R-3m (166)

Unit cell a=5.3001 b=5.3001 c=5.3001 alpha=48.59 beta=48.59 gamma=48.59
With the nearest neighbours (Å) after each atom.
Atoms (fractional coordinates):
Zn (0.1028, 0.1028, 0.1028)  4 Au 2.60-2.64, 1 Zn 2.88
Zn (0.8972, 0.8972, 0.8972)  4 Au 2.60-2.64, 1 Zn 2.88
Au (0.2883, 0.2883, 0.2883)  4 Zn 2.60-2.64, 3 Au 2.82
Au (0.7117, 0.7117, 0.7117)  4 Zn 2.60-2.64, 3 Au 2.82

---

(8)
# Zn5Au

A relaxed Zn5Au crystal (PBE, Alexandria).

Calculated values
**Formation enthalpy at 0 K**: -0.092 eV/atom
**Space-group type**: P2_1/m (11)

Unit cell a=3.7968 b=7.9580 c=6.5815 alpha=90.00 beta=99.89 gamma=90.00
With the nearest neighbours (Å) after each atom.
Atoms (fractional coordinates):
Zn (0.2135, 0.0824, 0.1390)  5 Zn 2.58-2.67, 2 Au 2.67-2.87
Zn (0.2135, 0.4176, 0.1390)  5 Zn 2.58-2.67, 2 Au 2.67-2.87
Zn (0.2159, 0.7500, 0.1437)  8 Zn 2.62-2.88
Zn (0.2658, 0.0858, 0.6269)  6 Zn 2.61-2.91, 2 Au 2.67-2.70
Zn (0.2658, 0.4142, 0.6269)  6 Zn 2.61-2.91, 2 Au 2.67-2.70
Zn (0.7342, 0.5858, 0.3731)  6 Zn 2.61-2.91, 2 Au 2.67-2.70
Zn (0.7342, 0.9142, 0.3731)  6 Zn 2.61-2.91, 2 Au 2.67-2.70
Zn (0.7841, 0.2500, 0.8563)  8 Zn 2.62-2.88
Zn (0.7865, 0.5824, 0.8610)  5 Zn 2.58-2.67, 2 Au 2.67-2.87
Zn (0.7865, 0.9176, 0.8610)  5 Zn 2.58-2.67, 2 Au 2.67-2.87
Au (0.2552, 0.7500, 0.6281)  10 Zn 2.67-2.98
Au (0.7448, 0.2500, 0.3719)  10 Zn 2.67-2.98

---

no.,spin magnetization (μB per cell)
1,0.0
2,0.0
3,0.0
4,0.0
5,0.0
6,0.0
7,0.0
8,0.0